# 1
DFT (PBE) results for crystalline InW2Cl at its relaxed geometry.

Calculated total energy = -6.566 eV per atom
Spin magnetization = 0.000 μB/f.u.
Calculated volume = 160.76 Å³/cell
Formation energy without anion corrections = 1.0564 eV/atom

The structure in POSCAR format:
```
InW2Cl
1.0
3.900 0.000 0.000
0.000 3.900 0.000
1.950 1.950 10.570
W Cl In
4 2 2
direct
0.875 0.916 0.750
0.375 0.334 0.750
0.666 0.125 0.250
0.084 0.625 0.250
0.500 0.500 0.000
0.250 0.750 0.500
0.750 0.250 0.500
0.000 0.000 0.000
```


# 2
DFT (PBE) results for crystalline InWCl3 at its relaxed geometry.

Calculated total energy = -4.342 eV per atom
Spin magnetization = 3.063 μB/f.u.
Calculated volume = 125.86 Å³/cell
Formation energy without anion corrections = -0.0957 eV/atom

The structure in POSCAR format:
```
InWCl3
1.0
5.011 0.000 0.000
0.000 5.011 0.000
0.000 0.000 5.011
Cl In W
3 1 1
direct
0.000 0.500 0.000
0.500 0.000 0.000
0.000 0.000 0.500
0.500 0.500 0.500
0.000 0.000 0.000
```


# 3
DFT (PBE) results for crystalline InWCl2 at its relaxed geometry.

Calculated total energy = -4.293 eV per atom
Spin magnetization = 1.298 μB/f.u.
Calculated volume = 78.36 Å³/cell
Formation energy without anion corrections = 0.5528 eV/atom

The structure in POSCAR format:
```
InWCl2
1.0
-0.144 -2.416 4.860
5.030 1.160 -2.433
0.976 2.688 1.114
W Cl In
1 2 1
direct
0.500 0.500 0.000
0.500 0.000 0.500
0.000 0.000 0.000
0.000 0.500 0.500
```


# 4
DFT (PBE) results for crystalline In2WCl at its relaxed geometry.

Calculated total energy = -4.179 eV per atom
Spin magnetization = 2.953 μB/f.u.
Calculated volume = 87.06 Å³/cell
Formation energy without anion corrections = 0.8897 eV/atom

The structure in POSCAR format:
```
In2WCl
1.0
-1.805 -2.372 3.983
-0.030 -4.973 0.131
3.083 -2.426 3.060
Cl In W
1 2 1
direct
0.500 0.500 0.500
0.000 0.000 0.000
0.250 0.250 0.250
0.750 0.750 0.750
```


# 5
DFT (PBE) results for crystalline InW2Cl at its relaxed geometry.

Calculated total energy = -6.830 eV per atom
Spin magnetization = 0.000 μB/f.u.
Calculated volume = 71.55 Å³/cell
Formation energy without anion corrections = 0.7929 eV/atom

The structure in POSCAR format:
```
InW2Cl
1.0
5.525 -0.014 -0.023
4.813 2.713 -0.023
2.257 0.589 4.741
Cl W In
1 2 1
direct
0.250 0.250 0.250
0.515 0.515 0.502
0.985 0.985 0.998
0.750 0.750 0.750
```


# 6
DFT (PBE) results for crystalline In2WCl at its relaxed geometry.

Calculated total energy = -4.467 eV per atom
Spin magnetization = 0.003 μB/f.u.
Calculated volume = 80.95 Å³/cell
Formation energy without anion corrections = 0.6017 eV/atom

The structure in POSCAR format:
```
In2WCl
1.0
-2.762 3.814 1.073
-0.956 0.108 -2.847
-5.173 -3.308 -1.559
W Cl In
1 1 2
direct
0.500 0.250 0.250
0.500 0.750 0.750
0.000 0.497 0.498
0.000 0.003 0.002
```


# 7
DFT (PBE) results for crystalline InWCl2 at its relaxed geometry.

Calculated total energy = -4.048 eV per atom
Spin magnetization = 1.704 μB/f.u.
Calculated volume = 81.63 Å³/cell
Formation energy without anion corrections = 0.7979 eV/atom

The structure in POSCAR format:
```
InWCl2
1.0
-4.497 2.548 -1.391
-1.121 -4.820 2.040
-0.171 1.218 2.784
W In Cl
1 1 2
direct
0.000 0.500 0.500
0.500 0.000 0.500
0.500 0.500 0.000
0.000 0.000 0.000
```


# 8
DFT (PBE) results for crystalline InWCl2 at its relaxed geometry.

Calculated total energy = -4.850 eV per atom
Spin magnetization = 0.000 μB/f.u.
Calculated volume = 100.09 Å³/cell
Formation energy without anion corrections = -0.0042 eV/atom

The structure in POSCAR format:
```
InWCl2
1.0
1.803 0.000 11.853
-0.901 1.561 11.853
-0.901 -1.561 11.853
In Cl W
1 2 1
direct
0.000 0.000 0.000
0.118 0.118 0.118
0.882 0.882 0.882
0.500 0.500 0.500
```


# 9
DFT (PBE) results for crystalline InWCl2 at its relaxed geometry.

Calculated total energy = -3.973 eV per atom
Spin magnetization = 5.010 μB/f.u.
Calculated volume = 90.30 Å³/cell
Formation energy without anion corrections = 0.8732 eV/atom

The structure in POSCAR format:
```
InWCl2
1.0
-4.553 1.993 0.809
-3.815 -2.946 1.458
-1.800 0.347 4.690
In W Cl
1 1 2
direct
0.500 0.500 0.500
0.250 0.250 0.250
0.000 0.000 0.000
0.750 0.750 0.750
```


# 10
DFT (PBE) results for crystalline InWCl2 at its relaxed geometry.

Calculated total energy = -3.878 eV per atom
Spin magnetization = 1.391 μB/f.u.
Calculated volume = 77.49 Å³/cell
Formation energy without anion corrections = 0.9685 eV/atom

The structure in POSCAR format:
```
InWCl2
1.0
0.000 3.384 3.384
3.384 0.000 3.384
3.384 3.384 0.000
In Cl W
1 2 1
direct
0.000 0.000 0.000
0.250 0.250 0.250
0.750 0.750 0.750
0.500 0.500 0.500
```


# 11
DFT (PBE) results for crystalline InW2Cl at its relaxed geometry.

Calculated total energy = -6.756 eV per atom
Spin magnetization = 0.000 μB/f.u.
Calculated volume = 71.84 Å³/cell
Formation energy without anion corrections = 0.8665 eV/atom

The structure in POSCAR format:
```
InW2Cl
1.0
-1.239 -2.331 1.491
2.859 0.947 0.353
-2.804 5.898 6.892
Cl W In
1 2 1
direct
0.500 0.500 0.250
0.000 0.000 0.486
0.000 0.000 0.014
0.500 0.500 0.750
```


# 12
DFT (PBE) results for crystalline In2WCl at its relaxed geometry.

Calculated total energy = -4.204 eV per atom
Spin magnetization = 1.583 μB/f.u.
Calculated volume = 90.37 Å³/cell
Formation energy without anion corrections = 0.8653 eV/atom

The structure in POSCAR format:
```
In2WCl
1.0
6.170 0.815 0.000
2.901 5.506 0.000
-4.536 -3.161 2.859
Cl W In
1 1 2
direct
0.750 0.250 0.500
0.500 0.500 0.000
0.250 0.750 0.500
0.000 0.000 0.000
```


What is the spin magnetization in the eleventh record? 0.000 μB/f.u.


What is the calculated total energy in the fourth record? -4.179 eV per atom


Which of these has the lowest calculated total energy? number 5